1.
## ZrSc (PBE)

Data for a relaxed structure of ZrSc.

Calculated values
D(E_F) (states/eV/cell): 2.87
ΔH_f (0 K) (meV/atom): 32
Magnetization (μB/f.u.): 0.0
Mass density (g/cm3): 4.8
Energy (eV per atom): -7.4077

a = 3.1891 Å, b = 3.1891 Å, c = 5.6321 Å
α = 73.55°, β = 73.55°, γ = 60.00°
Closest atoms and distances in Å follow each position.
Sites, in units of the cell vectors:
Zr  0.5000  0.5000  0.5000  6 Zr 3.19, 6 Sc 3.24
Sc  0.0000  0.0000  0.0000  6 Sc 3.19, 6 Zr 3.24


2.
## Sr2CaZrAl (PBE)

Data for a relaxed structure of Sr2CaZrAl.

Calculated values
D(E_F) (states/eV/cell): 5.91
ΔH_f (0 K) (meV/atom): 636
Magnetization (μB/f.u.): 0.0
Mass density (g/cm3): 2.8
Energy (eV per atom): -2.8949

a = 6.0822 Å, b = 5.4399 Å, c = 6.0822 Å
α = 90.00°, β = 90.00°, γ = 90.00°
Closest atoms and distances in Å follow each position.
Sites, in units of the cell vectors:
Ca  0.5000  0.5000  0.5000  8 Sr 4.08, 4 Al 4.30
Sr  0.5000  0.0000  0.0000  2 Zr 3.04
Zr  0.0000  0.0000  0.0000  2 Al 2.72, 4 Sr 3.04
Sr  0.0000  0.0000  0.5000  2 Zr 3.04
Al  0.0000  0.5000  0.0000  2 Zr 2.72


3.
## AcScCuAg (PBE)

Data for a relaxed structure of AcScCuAg.

Calculated values
D(E_F) (states/eV/cell): 4.55
ΔH_f (0 K) (meV/atom): -71
Magnetization (μB/f.u.): 0.0
Mass density (g/cm3): 7.5
Energy (eV per atom): -4.4177

a = 5.1894 Å, b = 5.1894 Å, c = 5.1894 Å
α = 60.00°, β = 60.00°, γ = 60.00°
Closest atoms and distances in Å follow each position.
Sites, in units of the cell vectors:
Cu  0.2500  0.2500  0.2500  4 Ac 3.18, 4 Sc 3.18
Sc  0.5000  0.5000  0.5000  4 Cu 3.18, 4 Ag 3.18
Ag  0.7500  0.7500  0.7500  4 Ac 3.18, 4 Sc 3.18
Ac  0.0000  0.0000  0.0000  4 Ag 3.18, 4 Cu 3.18